# Pu2Tc2Ge3

A relaxed Pu2Tc2Ge3 crystal (PBE, Alexandria via LeMat-Bulk).

```
Pu2Tc2Ge3
1.0
-0.9350 3.1703 -0.6618
-2.1513 0.7881 6.8152
6.4560 -0.1517 -1.2631
Pu Ge Tc
2 3 2
Direct
0.5890 0.7184 0.1781
0.4110 0.2816 0.8219
0.6962 0.1869 0.3924
0.3038 0.8131 0.6076
0.0000 0.0000 0.0000
0.1494 0.4051 0.2987
0.8506 0.5949 0.7013
```

The formation energy comes out at -0.111 eV per atom. The space group is No. 12. For the mass density, the calculation gives 11.177 g/cm3. The total magnetization comes out at 10.15 μB/cell. The energy is -64.028 eV per cell. The energy above the lowest structure with this stoichiometry comes out at 8 meV per atom.